4
Lattice="-0.262 -3.461 0.831 2.714 -2.212 -0.691 5.810 0.557 11.822" Properties=species:S:1:pos:R:3 comment="Ac2SmPa | Alexandria | PBE-GGA | optimized geometry" space_group="R-3m (166)" mass_density_g_cm3=9.658 magnetic_moment_mub_per_atom=0.000 ef_ev_per_atom=0.488 pbc="T T T"
Ac 3.733 -5.045 3.160
Ac 4.529 -0.071 8.801
Pa 0.000 0.000 0.000
Sm 4.131 -2.558 5.980

***

4
Lattice="-5.523 -0.073 0.596 -2.271 -2.193 4.571 -2.433 3.299 3.750" Properties=species:S:1:pos:R:3 comment="AcPaSn2 | Alexandria | PBE-GGA | optimized geometry" space_group="Fm-3m (225)" mass_density_g_cm3=9.526 magnetic_moment_mub_per_atom=0.576 ef_ev_per_atom=-0.190 polymorph_energy_mev_per_atom=142 pbc="T T T"
Sn -7.670 0.774 6.688
Sn -2.557 0.258 2.229
Pa 0.000 0.000 0.000
Ac -5.114 0.516 4.458

***

16
Lattice="-1.165 -1.511 -4.466 2.093 -4.287 0.905 -16.822 -6.801 6.688" Properties=species:S:1:pos:R:3 comment="Ac3PaSn12 | Alexandria | PBE-GGA | optimized geometry" space_group="P4/mmm (123)" mass_density_g_cm3=8.508 magnetic_moment_mub_per_atom=0.000 ef_ev_per_atom=-0.445 pbc="T T T"
Ac -12.760 -5.159 5.073
Ac -4.063 -1.642 1.615
Ac -8.411 -3.401 3.344
Sn -3.677 -4.573 -0.134
Sn -9.532 -6.420 4.658
Sn -0.887 -2.925 1.221
Sn -13.843 -8.163 6.372
Sn -2.515 -1.537 -1.464
Sn -15.472 -6.775 3.687
Sn -6.826 -3.280 0.250
Sn 0.464 -2.899 -1.780
Sn -7.947 -6.300 1.564
Sn -5.198 -4.668 2.935
Sn -12.217 -8.026 3.262
Sn -11.161 -5.032 1.973
Pa 0.000 0.000 0.000